VASP calculation (GGA-PBEsol) on a geometry-optimized Na4ZnSe3 structure.

Cell lengths 7.9335, 7.9335, 9.5746 Å; angles 112.75, 112.75, 52.02 degrees
Atoms (fractional coordinates):
Na: 0.0128 0.4510 0.4761
Na: 0.1620 0.8380 0.5000
Na: 0.1684 0.6117 0.8688
Na: 0.3629 0.8040 0.2289
Na: 0.4510 0.0128 0.9761
Na: 0.6117 0.1684 0.3688
Na: 0.8040 0.3629 0.7289
Na: 0.8380 0.1620 0.0000
Zn: 0.5703 0.9055 0.6198
Zn: 0.9055 0.5703 0.1198
Se: 0.1921 0.2432 0.2084
Se: 0.2432 0.1921 0.7084
Se: 0.5713 0.5964 0.9720
Se: 0.5964 0.5713 0.4720
Se: 0.8697 0.9281 0.6584
Se: 0.9281 0.8697 0.1584

uncorrected formation energy	-0.91	eV per atom
E_tot	-3.248	eV per atom

VASP calculation (GGA-PBEsol) on a geometry-optimized TlCuIr2 structure.

Cell lengths 4.4350, 4.4350, 4.4350 Å; angles 60.00, 60.00, 60.00 degrees
Atoms (fractional coordinates):
Tl: 0.0000 0.0000 0.0000
Cu: 0.7500 0.7500 0.7500
Ir: 0.2500 0.2500 0.2500
Ir: 0.5000 0.5000 0.5000

ΔE_f	565	meV/atom
E_tot	-6.088	eV per atom